Entry 1:
First-principles (PBE) data for crystalline Pm2Er5TmTh at its relaxed geometry, as listed in Alexandria via LeMat-Bulk.

The structure in CIF format:
```
data_Pm2Er5TmTh
_space_group_name_H-M_alt 'I 4/m c m'
_space_group_IT_number 140
_space_group_name_Hall '-I 4 2c'
_cell_length_a 8.6705
_cell_length_b 8.6705
_cell_length_c 15.2319
_cell_angle_alpha 90.00
_cell_angle_beta 90.00
_cell_angle_gamma 90.00
loop_
_atom_site_label
_atom_site_type_symbol
_atom_site_fract_x
_atom_site_fract_y
_atom_site_fract_z
Pm1 Pm 0.1156 0.3844 0.0000
Er1 Er 0.0000 0.0000 0.0000
Er2 Er 0.2128 0.2872 0.3608
Tm1 Tm 0.0000 0.5000 0.2500
Th1 Th 0.0000 0.0000 0.2500
```

## Properties
Raw total energy   -4.611 eV/atom
Total magnetization   0.00 μB per formula unit
Crystal system   tetragonal

***

Entry 2:
First-principles (PBE) data for crystalline LiNi14Rh at its relaxed geometry, as listed in Alexandria via LeMat-Bulk.

The structure in CIF format:
```
data_LiNi14Rh
_space_group_name_H-M_alt 'A m m 2'
_space_group_IT_number 38
_cell_length_a 8.2113
_cell_length_b 4.9914
_cell_length_c 8.7054
_cell_angle_alpha 90.00
_cell_angle_beta 90.00
_cell_angle_gamma 90.00
loop_
_space_group_symop_operation_xyz
'x,y,z'
'-x,-y,z'
'-x,y,z'
'x,-y,z'
'x,y+1/2,z+1/2'
'-x,-y+1/2,z+1/2'
'-x,y+1/2,z+1/2'
'x,-y+1/2,z+1/2'
loop_
_atom_site_label
_atom_site_type_symbol
_atom_site_fract_x
_atom_site_fract_y
_atom_site_fract_z
Li1 Li 0.0000 0.0000 0.0000
Ni1 Ni 0.0000 0.2488 0.7506
Ni2 Ni 0.2508 0.0000 0.1678
Ni3 Ni 0.2508 0.0000 0.6683
Ni4 Ni 0.2542 0.2490 0.9161
Ni5 Ni 0.5000 0.0000 0.3326
Ni6 Ni 0.5000 0.0000 0.8326
Ni7 Ni 0.5000 0.2499 0.0833
Rh1 Rh 0.0000 0.0000 0.5000
```

## Properties
Raw total energy   -5.629 eV/atom
Total magnetization   9.97 μB per formula unit
Crystal system   orthorhombic

***

Entry 3:
First-principles (PBE) data for crystalline Pr2Y5Sc2 at its relaxed geometry, as listed in Alexandria via LeMat-Bulk.

The structure in CIF format:
```
data_Pr2Y5Sc2
_space_group_name_H-M_alt 'I m a 2'
_space_group_IT_number 46
_cell_length_a 19.5233
_cell_length_b 8.4746
_cell_length_c 7.0134
_cell_angle_alpha 90.00
_cell_angle_beta 90.00
_cell_angle_gamma 90.00
loop_
_space_group_symop_operation_xyz
'x,y,z'
'-x,-y,z'
'-x+1/2,y,z'
'x+1/2,-y,z'
'x+1/2,y+1/2,z+1/2'
'-x+1/2,-y+1/2,z+1/2'
'-x,y+1/2,z+1/2'
'x,-y+1/2,z+1/2'
loop_
_atom_site_label
_atom_site_type_symbol
_atom_site_fract_x
_atom_site_fract_y
_atom_site_fract_z
Pr1 Pr 0.0000 0.0000 0.0000
Pr2 Pr 0.2500 0.0547 0.0435
Y1 Y 0.1082 0.2240 0.2967
Y2 Y 0.1643 0.7490 0.7935
Y3 Y 0.2500 0.0482 0.5486
Sc1 Sc 0.0411 0.6321 0.0415
```

## Properties
Total magnetization   0.00 μB per formula unit
Crystal system   orthorhombic
Excess energy over the best structure of this formula in the dataset   3.75 kcal/mol of atoms

***

Entry 4:
First-principles (PBE) data for crystalline Pm3SmHo2 at its relaxed geometry, as listed in Alexandria via LeMat-Bulk.

The structure in CIF format:
```
data_Pm3SmHo2
_space_group_name_H-M_alt 'P -1'
_space_group_IT_number 2
_cell_length_a 6.2367
_cell_length_b 7.2068
_cell_length_c 9.5363
_cell_angle_alpha 112.09
_cell_angle_beta 90.08
_cell_angle_gamma 90.08
loop_
_space_group_symop_operation_xyz
'x,y,z'
'-x,-y,-z'
loop_
_atom_site_label
_atom_site_type_symbol
_atom_site_fract_x
_atom_site_fract_y
_atom_site_fract_z
Pm1 Pm 0.0836 0.2070 0.1649
Pm2 Pm 0.2501 0.1245 0.5000
Pm3 Pm 0.4163 0.5421 0.8350
Sm1 Sm 0.2499 0.6258 0.5000
Ho1 Ho 0.0829 0.7085 0.1657
Ho2 Ho 0.4172 0.0427 0.8344
```

## Properties
Total magnetization   0.00 μB per formula unit
Crystal system   triclinic
Excess energy over the best structure of this formula in the dataset   0.36 kcal/mol of atoms